DFT (PBE) results for an optimized crystal structure of Tm2Be3AlAu4.

Geometry as CIF:
```
data_Tm2Be3AlAu4
_space_group_name_H-M_alt 'P 1'
_space_group_IT_number 1
_cell_length_a 4.2480
_cell_length_b 4.2480
_cell_length_c 9.4812
_cell_angle_alpha 90.00
_cell_angle_beta 90.00
_cell_angle_gamma 90.00
loop_
_space_group_symop_operation_xyz
'x,y,z'
loop_
_atom_site_label
_atom_site_type_symbol
_atom_site_fract_x
_atom_site_fract_y
_atom_site_fract_z
Tm1 Tm 0.0000 0.5000 0.2479
Tm2 Tm 0.5000 0.0000 0.7521
Be1 Be 0.0000 0.5000 0.8855
Be2 Be 0.5000 0.0000 0.1145
Be3 Be 0.5000 0.5000 0.5000
Al1 Al 0.0000 0.0000 0.5000
Au1 Au 0.0000 0.0000 0.0000
Au2 Au 0.0000 0.5000 0.6433
Au3 Au 0.5000 0.0000 0.3567
Au4 Au 0.5000 0.5000 0.0000
```

Values from the calculation:
crystal system = tetragonal

---

DFT (PBE) results for an optimized crystal structure of TmBe2AlAu4.

Geometry as CIF:
```
data_TmBe2AlAu4
_space_group_name_H-M_alt 'P 1'
_space_group_IT_number 1
_cell_length_a 9.1505
_cell_length_b 9.1505
_cell_length_c 9.1505
_cell_angle_alpha 26.65
_cell_angle_beta 26.65
_cell_angle_gamma 26.65
loop_
_space_group_symop_operation_xyz
'x,y,z'
loop_
_atom_site_label
_atom_site_type_symbol
_atom_site_fract_x
_atom_site_fract_y
_atom_site_fract_z
Tm1 Tm 0.0000 0.0000 0.0000
Be1 Be 0.2469 0.2469 0.2469
Be2 Be 0.7531 0.7531 0.7531
Al1 Al 0.5000 0.5000 0.5000
Au1 Au 0.1270 0.1270 0.1270
Au2 Au 0.3980 0.3980 0.3980
Au3 Au 0.6020 0.6020 0.6020
Au4 Au 0.8730 0.8730 0.8730
```

Values from the calculation:
crystal system = trigonal

---

DFT (PBE) results for an optimized crystal structure of U2BeAlAu6.

Geometry as CIF:
```
data_U2BeAlAu6
_space_group_name_H-M_alt 'P 1'
_space_group_IT_number 1
_cell_length_a 6.5177
_cell_length_b 6.5177
_cell_length_c 9.5673
_cell_angle_alpha 124.46
_cell_angle_beta 124.46
_cell_angle_gamma 34.94
loop_
_space_group_symop_operation_xyz
'x,y,z'
loop_
_atom_site_label
_atom_site_type_symbol
_atom_site_fract_x
_atom_site_fract_y
_atom_site_fract_z
U1 U 0.2121 0.2121 0.3888
U2 U 0.7879 0.7879 0.6112
Be1 Be 0.5000 0.5000 0.0000
Al1 Al 0.0000 0.0000 0.5000
Au1 Au 0.0902 0.0902 0.9564
Au2 Au 0.2339 0.2339 0.8056
Au3 Au 0.4837 0.4837 0.3051
Au4 Au 0.5163 0.5163 0.6949
Au5 Au 0.7661 0.7661 0.1944
Au6 Au 0.9098 0.9098 0.0436
```

Values from the calculation:
crystal system = monoclinic

---

DFT (PBE) results for an optimized crystal structure of YBeAlAu3.

Geometry as CIF:
```
data_YBeAlAu3
_space_group_name_H-M_alt 'P 1'
_space_group_IT_number 1
_cell_length_a 6.6913
_cell_length_b 6.6913
_cell_length_c 6.1514
_cell_angle_alpha 90.00
_cell_angle_beta 90.00
_cell_angle_gamma 123.55
loop_
_space_group_symop_operation_xyz
'x,y,z'
loop_
_atom_site_label
_atom_site_type_symbol
_atom_site_fract_x
_atom_site_fract_y
_atom_site_fract_z
Y1 Y 0.2180 0.7820 0.7500
Y2 Y 0.7820 0.2180 0.2500
Be1 Be 0.4680 0.5320 0.7500
Be2 Be 0.5320 0.4680 0.2500
Al1 Al 0.1245 0.8755 0.2500
Al2 Al 0.8755 0.1245 0.7500
Au1 Au 0.2314 0.2314 0.0000
Au2 Au 0.2314 0.2314 0.5000
Au3 Au 0.3304 0.6696 0.2500
Au4 Au 0.6696 0.3304 0.7500
Au5 Au 0.7686 0.7686 0.0000
Au6 Au 0.7686 0.7686 0.5000
```

Values from the calculation:
crystal system = orthorhombic

---

DFT (PBE) results for an optimized crystal structure of Y2Be3AlAu4.

Geometry as CIF:
```
data_Y2Be3AlAu4
_space_group_name_H-M_alt 'P 1'
_space_group_IT_number 1
_cell_length_a 4.2865
_cell_length_b 4.2865
_cell_length_c 9.4892
_cell_angle_alpha 90.00
_cell_angle_beta 90.00
_cell_angle_gamma 90.00
loop_
_space_group_symop_operation_xyz
'x,y,z'
loop_
_atom_site_label
_atom_site_type_symbol
_atom_site_fract_x
_atom_site_fract_y
_atom_site_fract_z
Y1 Y 0.0000 0.5000 0.2487
Y2 Y 0.5000 0.0000 0.7513
Be1 Be 0.0000 0.5000 0.8859
Be2 Be 0.5000 0.0000 0.1141
Be3 Be 0.5000 0.5000 0.5000
Al1 Al 0.0000 0.0000 0.5000
Au1 Au 0.0000 0.0000 0.0000
Au2 Au 0.0000 0.5000 0.6413
Au3 Au 0.5000 0.0000 0.3587
Au4 Au 0.5000 0.5000 0.0000
```

Values from the calculation:
crystal system = tetragonal

---

DFT (PBE) results for an optimized crystal structure of Y2BeAl4Au3.

Geometry as CIF:
```
data_Y2BeAl4Au3
_space_group_name_H-M_alt 'P 1'
_space_group_IT_number 1
_cell_length_a 4.2066
_cell_length_b 4.2066
_cell_length_c 10.7843
_cell_angle_alpha 90.00
_cell_angle_beta 90.00
_cell_angle_gamma 90.00
loop_
_space_group_symop_operation_xyz
'x,y,z'
loop_
_atom_site_label
_atom_site_type_symbol
_atom_site_fract_x
_atom_site_fract_y
_atom_site_fract_z
Y1 Y 0.0000 0.5000 0.2381
Y2 Y 0.5000 0.0000 0.7619
Be1 Be 0.5000 0.5000 0.0000
Al1 Al 0.0000 0.0000 0.5000
Al2 Al 0.0000 0.5000 0.8720
Al3 Al 0.5000 0.0000 0.1280
Al4 Al 0.5000 0.5000 0.5000
Au1 Au 0.0000 0.0000 0.0000
Au2 Au 0.0000 0.5000 0.6405
Au3 Au 0.5000 0.0000 0.3595
```

Values from the calculation:
crystal system = tetragonal

---

DFT (PBE) results for an optimized crystal structure of YBeAl2Au4.

Geometry as CIF:
```
data_YBeAl2Au4
_space_group_name_H-M_alt 'P 1'
_space_group_IT_number 1
_cell_length_a 9.0491
_cell_length_b 9.0491
_cell_length_c 9.0491
_cell_angle_alpha 27.90
_cell_angle_beta 27.90
_cell_angle_gamma 27.90
loop_
_space_group_symop_operation_xyz
'x,y,z'
loop_
_atom_site_label
_atom_site_type_symbol
_atom_site_fract_x
_atom_site_fract_y
_atom_site_fract_z
Y1 Y 0.0000 0.0000 0.0000
Be1 Be 0.5000 0.5000 0.5000
Al1 Al 0.2429 0.2429 0.2429
Al2 Al 0.7571 0.7571 0.7571
Au1 Au 0.1377 0.1377 0.1377
Au2 Au 0.4002 0.4002 0.4002
Au3 Au 0.5998 0.5998 0.5998
Au4 Au 0.8623 0.8623 0.8623
```

Values from the calculation:
crystal system = trigonal

---

DFT (PBE) results for an optimized crystal structure of YBe2AlAu4.

Geometry as CIF:
```
data_YBe2AlAu4
_space_group_name_H-M_alt 'P 1'
_space_group_IT_number 1
_cell_length_a 9.2832
_cell_length_b 9.2832
_cell_length_c 9.2832
_cell_angle_alpha 26.28
_cell_angle_beta 26.28
_cell_angle_gamma 26.28
loop_
_space_group_symop_operation_xyz
'x,y,z'
loop_
_atom_site_label
_atom_site_type_symbol
_atom_site_fract_x
_atom_site_fract_y
_atom_site_fract_z
Y1 Y 0.0000 0.0000 0.0000
Be1 Be 0.2465 0.2465 0.2465
Be2 Be 0.7535 0.7535 0.7535
Al1 Al 0.5000 0.5000 0.5000
Au1 Au 0.1280 0.1280 0.1280
Au2 Au 0.4000 0.4000 0.4000
Au3 Au 0.6000 0.6000 0.6000
Au4 Au 0.8720 0.8720 0.8720
```

Values from the calculation:
crystal system = trigonal

---

no.,formation enthalpy at 0 K (eV per atom),E_tot (eV per cell)
1,-0.51,-42.03
2,-0.34,-31.50
3,-0.19,-51.64
4,-0.41,-52.41
5,-0.53,-46.26
6,-0.60,-47.48
7,-0.49,-34.68
8,-0.35,-33.56